(1)
The following is a PBE calculation of crystalline RbSbC2O6 at its relaxed geometry, from the Alexandria database.

Summary:
energy relative to the elements, uncorrected	-1.458	eV per atom
final energy	-0.2494	Ha/atom
total magnetization	0.00	Bohr magnetons per cell

Unit cell a=6.953 b=6.953 c=7.556 alpha=105.73 beta=105.73 gamma=97.53
Element x y z (fractional)
1 Rb 0.128 0.872 0.750
2 Rb 0.872 0.128 0.250
3 Sb 0.435 0.565 0.250
4 Sb 0.565 0.435 0.750
5 C 0.173 0.394 0.727
6 C 0.394 0.173 0.227
7 C 0.606 0.827 0.773
8 C 0.827 0.606 0.273
9 O 0.008 0.598 0.290
10 O 0.236 0.267 0.601
11 O 0.267 0.236 0.101
12 O 0.334 0.524 0.877
13 O 0.402 0.992 0.210
14 O 0.476 0.666 0.623
15 O 0.524 0.334 0.377
16 O 0.598 0.008 0.790
17 O 0.666 0.476 0.123
18 O 0.733 0.764 0.899
19 O 0.764 0.733 0.399
20 O 0.992 0.402 0.710

(2)
The following is a PBE calculation of crystalline Pm3Tl4InSe8 at its relaxed geometry, from the Alexandria database.

Summary:
energy relative to the elements, uncorrected	-1.137	eV per atom
final energy	-0.1666	Ha/atom
total magnetization	0.00	Bohr magnetons per cell

Unit cell a=9.180 b=9.180 c=9.180 alpha=55.19 beta=55.19 gamma=55.19
Element x y z (fractional)
1 Pm 0.000 0.500 0.500
2 Pm 0.500 0.000 0.500
3 Pm 0.500 0.500 0.000
4 Tl 0.000 0.000 0.500
5 Tl 0.000 0.500 0.000
6 Tl 0.500 0.000 0.000
7 Tl 0.500 0.500 0.500
8 In 0.000 0.000 0.000
9 Se 0.231 0.231 0.746
10 Se 0.231 0.746 0.231
11 Se 0.254 0.769 0.769
12 Se 0.263 0.263 0.263
13 Se 0.737 0.737 0.737
14 Se 0.746 0.231 0.231
15 Se 0.769 0.254 0.769
16 Se 0.769 0.769 0.254